1.
First-principles (GGA-PBE) data for Pr6HPt2I3 after structural relaxation, as listed in Alexandria via LeMat-Bulk.

Geometry as POSCAR:
```
Pr6HPt2I3
1.0
-4.3767 -3.2174 -4.9837
-0.1365 -2.2309 7.0248
-4.2548 7.1820 0.9124
I H Pr Pt
3 1 6 2
Direct
0.8330 0.1670 0.5000
0.1670 0.8330 0.5000
0.5000 0.5000 0.5000
0.0000 0.0000 0.0000
0.5991 0.9363 0.8106
0.2752 0.2752 0.8132
0.4009 0.0637 0.1894
0.9363 0.5991 0.8106
0.7248 0.7248 0.1868
0.0637 0.4009 0.1894
0.3328 0.6672 0.0000
0.6672 0.3328 0.0000
```

Its uncorrected energy is -4.9425 eV/atom. As for the space-group type: No. 12.

***

2.
First-principles (GGA-PBE) data for Pr8HRh3I4 after structural relaxation, as listed in Alexandria via LeMat-Bulk.

Geometry as POSCAR:
```
Pr8HRh3I4
1.0
8.3356 0.0000 0.0000
0.0000 9.4522 0.7956
-4.1678 -4.1467 5.8856
Rh Pr H I
3 8 1 4
Direct
0.5000 0.5000 0.5000
0.0000 0.5000 0.5000
0.5000 0.5000 0.0000
0.2263 0.6842 0.4527
0.2713 0.3133 0.5425
0.7737 0.3158 0.5473
0.7287 0.6867 0.4575
0.7721 0.3146 0.0433
0.2712 0.3146 0.0433
0.2279 0.6854 0.9567
0.7288 0.6854 0.9567
0.0000 0.5000 0.0000
0.5000 0.0000 0.0000
0.0000 0.0000 0.5000
0.0000 0.0000 0.0000
0.5000 0.0000 0.5000
```

Its uncorrected energy is -5.1868 eV/atom. As for the space-group type: No. 12.

***

3.
First-principles (GGA-PBE) data for Pr6HRh2I3 after structural relaxation, as listed in Alexandria via LeMat-Bulk.

Geometry as POSCAR:
```
Pr6HRh2I3
1.0
-6.5105 -0.8335 -2.9103
3.1269 -5.5166 3.3676
-2.3127 4.4638 6.8800
Pr I H Rh
6 3 1 2
Direct
0.3949 0.0610 0.1851
0.0610 0.3949 0.1851
0.7265 0.7265 0.1868
0.2735 0.2735 0.8132
0.9390 0.6051 0.8149
0.6051 0.9390 0.8149
0.8317 0.1683 0.5000
0.5000 0.5000 0.5000
0.1683 0.8317 0.5000
0.0000 0.0000 0.0000
0.3336 0.6664 0.0000
0.6664 0.3336 0.0000
```

Its uncorrected energy is -5.0675 eV/atom. As for the space-group type: No. 12.

***

4.
First-principles (GGA-PBE) data for Pr8HRh3I3 after structural relaxation, as listed in Alexandria via LeMat-Bulk.

Geometry as POSCAR:
```
Pr8HRh3I3
1.0
8.3163 -0.0001 -0.0006
-4.1582 7.1914 -0.0227
-0.0005 -4.7600 8.0610
Pr I Rh H
8 3 3 1
Direct
0.7705 0.0407 0.3110
0.2282 0.4565 0.6880
0.2295 0.9593 0.6890
0.7298 0.9593 0.6888
0.2702 0.0407 0.3112
0.2700 0.5400 0.3102
0.7718 0.5435 0.3120
0.7300 0.4600 0.6898
0.0000 0.5000 0.0000
0.0000 0.0000 0.0000
0.5000 0.5000 0.0000
0.5000 0.0000 0.5000
0.0000 0.5000 0.5000
0.5000 0.5000 0.5000
0.0000 0.0000 0.5000
```

Its uncorrected energy is -5.2447 eV/atom. As for the space-group type: No. 12.

***

5.
First-principles (GGA-PBE) data for Pr6HRu2I3 after structural relaxation, as listed in Alexandria via LeMat-Bulk.

Geometry as POSCAR:
```
Pr6HRu2I3
1.0
-6.5101 -0.6633 2.8138
4.9715 -4.9274 1.3206
2.9487 6.1021 5.2478
Pr I Ru H
6 3 2 1
Direct
0.6017 0.9381 0.8142
0.9381 0.6017 0.8142
0.0619 0.3983 0.1858
0.7254 0.7254 0.1852
0.2746 0.2746 0.8148
0.3983 0.0619 0.1858
0.8308 0.1692 0.5000
0.1692 0.8308 0.5000
0.5000 0.5000 0.5000
0.6666 0.3334 0.0000
0.3334 0.6666 0.0000
0.0000 0.0000 0.0000
```

Its uncorrected energy is -5.2742 eV/atom. As for the space-group type: No. 12.

***

6.
First-principles (GGA-PBE) data for Pr6Si2HI3 after structural relaxation, as listed in Alexandria via LeMat-Bulk.

Geometry as POSCAR:
```
Pr6Si2HI3
1.0
7.3061 0.0042 -0.0131
-3.6477 6.3304 -0.0131
-1.2338 -2.1364 7.7939
I Si Pr H
3 2 6 1
Direct
0.5000 0.5000 0.5000
0.1763 0.8237 0.5000
0.8237 0.1763 0.5000
0.6658 0.3342 0.0000
0.3342 0.6658 0.0000
0.9361 0.6126 0.8070
0.7339 0.7339 0.2045
0.6126 0.9361 0.8070
0.0639 0.3874 0.1930
0.2661 0.2661 0.7955
0.3874 0.0639 0.1930
0.0000 0.0000 0.0000
```

Its uncorrected energy is -4.7487 eV/atom. As for the space-group type: No. 12.

***

7.
First-principles (GGA-PBE) data for H2PtI8 after structural relaxation, as listed in Alexandria via LeMat-Bulk.

Geometry as POSCAR:
```
H2PtI8
1.0
7.0268 1.7515 -0.1723
2.1058 6.0943 2.2587
-0.8748 0.9195 12.1522
I H Pt
8 2 1
Direct
0.0639 0.8441 0.4432
0.0615 0.2183 0.1235
0.5753 0.2107 0.0020
0.4247 0.7893 0.9980
0.2265 0.4495 0.3165
0.9361 0.1559 0.5568
0.7735 0.5505 0.6835
0.9385 0.7817 0.8765
0.1193 0.7063 0.1650
0.8807 0.2937 0.8350
0.0000 0.0000 0.0000
```

Its uncorrected energy is -2.2616 eV/atom. As for the space-group type: No. 2.

***

8.
First-principles (GGA-PBE) data for HPtI4 after structural relaxation, as listed in Alexandria via LeMat-Bulk.

Geometry as POSCAR:
```
HPtI4
1.0
7.1350 0.1702 0.4230
1.1016 6.1853 2.6581
0.1320 -0.4878 9.8340
I H Pt
8 2 2
Direct
0.8706 0.3867 0.1670
0.8919 0.1844 0.5948
0.6081 0.7209 0.5948
0.6294 0.9463 0.1670
0.3919 0.2791 0.4052
0.1081 0.8156 0.4052
0.3706 0.0537 0.8330
0.1294 0.6133 0.8330
0.2500 0.3414 0.8171
0.7500 0.6586 0.1829
0.7500 0.0563 0.3874
0.2500 0.9437 0.6126
```

Its uncorrected energy is -2.6100 eV/atom. As for the space-group type: No. 15.

***

9.
First-principles (GGA-PBE) data for HPtI after structural relaxation, as listed in Alexandria via LeMat-Bulk.

Geometry as POSCAR:
```
HPtI
1.0
-5.9723 2.0016 3.5284
1.5207 -2.0436 3.7332
3.7101 6.9894 2.3148
Pt H I
4 4 4
Direct
0.7129 0.2500 0.0753
0.7871 0.7500 0.5753
0.2871 0.7500 0.9247
0.2129 0.2500 0.4247
0.0766 0.7500 0.9686
0.5766 0.7500 0.5314
0.9234 0.2500 0.0314
0.4234 0.2500 0.4686
0.8289 0.2500 0.3797
0.3289 0.2500 0.1203
0.1711 0.7500 0.6203
0.6711 0.7500 0.8797
```

The calculation puts the energy above the most stable polymorph in this dataset at 223 meV/atom. As for the space-group type: No. 62.

***

10.
First-principles (GGA-PBE) data for HPtI after structural relaxation, as listed in Alexandria via LeMat-Bulk.

Geometry as POSCAR:
```
HPtI
1.0
4.5273 0.0006 0.0000
2.1654 8.1057 -0.0001
-0.0056 0.0000 3.9537
H I Pt
2 2 2
Direct
0.4968 0.2374 0.5031
0.4967 0.2374 0.0029
0.2914 0.9171 0.7524
0.9694 0.5510 0.2523
0.3239 0.1207 0.2526
0.2074 0.3499 0.7526
```

The calculation puts the energy above the most stable polymorph in this dataset at 0 meV/atom. As for the space-group type: No. 1.

***

11.
First-principles (GGA-PBE) data for HPtI after structural relaxation, as listed in Alexandria via LeMat-Bulk.

Geometry as POSCAR:
```
HPtI
1.0
3.8819 0.0000 0.0000
-1.9409 3.5480 -0.0945
0.0000 -0.9193 8.7956
I H Pt
2 2 2
Direct
0.0123 0.0246 0.7615
0.9877 0.9754 0.2385
0.8408 0.6816 0.8872
0.1592 0.3184 0.1128
0.3355 0.6711 0.5822
0.6645 0.3289 0.4178
```

The calculation puts the energy above the most stable polymorph in this dataset at 483 meV/atom. As for the space-group type: No. 12.

***

12.
First-principles (GGA-PBE) data for H2PtI4 after structural relaxation, as listed in Alexandria via LeMat-Bulk.

Geometry as POSCAR:
```
H2PtI4
1.0
-3.8723 0.3452 0.7318
3.4256 -4.5692 13.8596
2.2415 4.1917 0.4603
H I Pt
2 4 1
Direct
0.7136 0.6680 0.3840
0.2864 0.3320 0.6160
0.0250 0.3701 0.7858
0.9750 0.6299 0.2142
0.5404 0.1163 0.0124
0.4596 0.8837 0.9876
0.0000 0.0000 0.0000
```

Its uncorrected energy is -2.7192 eV/atom. As for the space-group type: No. 2.

***

13.
First-principles (GGA-PBE) data for H2PtI3 after structural relaxation, as listed in Alexandria via LeMat-Bulk.

Geometry as POSCAR:
```
H2PtI3
1.0
11.4220 1.6268 4.6672
1.2676 7.4656 -0.1962
4.7343 0.5941 6.7757
Pt I H
2 6 4
Direct
0.9022 0.2270 0.1600
0.0978 0.7730 0.8400
0.7491 0.9359 0.3770
0.2509 0.0641 0.6230
0.1371 0.2083 0.2546
0.8629 0.7917 0.7454
0.4126 0.5244 0.3562
0.5874 0.4756 0.6438
0.8078 0.8346 0.6123
0.1922 0.1654 0.3877
0.3959 0.3653 0.9018
0.6041 0.6347 0.0982
```

Its uncorrected energy is -2.7238 eV/atom. As for the space-group type: No. 2.

***

14.
First-principles (GGA-PBE) data for H4PtI after structural relaxation, as listed in Alexandria via LeMat-Bulk.

Geometry as POSCAR:
```
H4PtI
1.0
5.4564 -0.4382 0.3265
0.3015 6.2058 3.4499
-0.2503 0.9804 5.5781
I H Pt
2 8 2
Direct
0.7500 0.3583 0.2835
0.2500 0.6417 0.7165
0.4402 0.1080 0.7837
0.2505 0.7580 0.0209
0.7505 0.7789 0.9791
0.7495 0.2420 0.9791
0.2495 0.2211 0.0209
0.0598 0.1083 0.7837
0.5598 0.8920 0.2163
0.9402 0.8917 0.2163
0.2500 0.9488 0.1024
0.7500 0.0512 0.8976
```

Its uncorrected energy is -3.3266 eV/atom. As for the space-group type: No. 63.

***

15.
First-principles (GGA-PBE) data for HPt3I after structural relaxation, as listed in Alexandria via LeMat-Bulk.

Geometry as POSCAR:
```
HPt3I
1.0
-3.5329 1.6656 1.6193
-1.7466 0.0387 -3.8504
-1.5316 -3.8861 0.6557
Pt H I
3 1 1
Direct
0.0000 0.0000 0.5000
0.5000 0.0000 0.0000
0.0000 0.5000 0.0000
0.0000 0.0000 0.0000
0.5000 0.5000 0.5000
```

The calculation puts the energy above the most stable polymorph in this dataset at 0 meV/atom. As for the space-group type: No. 221.

***

16.
First-principles (GGA-PBE) data for H5PtI2 after structural relaxation, as listed in Alexandria via LeMat-Bulk.

Geometry as POSCAR:
```
H5PtI2
1.0
1.6328 5.1514 -0.3291
2.8000 -0.6881 5.0562
6.6028 1.5399 -0.0974
H Pt I
5 1 2
Direct
0.6512 0.9205 0.0056
0.0919 0.0538 0.0488
0.4291 0.2108 0.5931
0.6520 0.0582 0.0073
0.0910 0.9000 0.0494
0.0767 0.1100 0.7819
0.1039 0.3327 0.3379
0.1271 0.6370 0.7300
```

Its uncorrected energy is -3.2287 eV/atom. As for the space-group type: No. 1.

***

17.
First-principles (GGA-PBE) data for H2PtI6 after structural relaxation, as listed in Alexandria via LeMat-Bulk.

Geometry as POSCAR:
```
H2PtI6
1.0
6.8982 -1.0273 -0.1727
-0.4971 9.9137 0.6819
-1.7919 -0.3102 9.7819
I H Pt
12 4 2
Direct
0.4453 0.3328 0.9151
0.5297 0.7237 0.5251
0.0107 0.8233 0.9624
0.0547 0.0849 0.6672
0.0297 0.5251 0.7237
0.9703 0.4749 0.2763
0.4893 0.0376 0.1767
0.9893 0.1767 0.0376
0.5547 0.6672 0.0849
0.9453 0.9151 0.3328
0.5107 0.9624 0.8233
0.4703 0.2763 0.4749
0.3502 0.6445 0.6035
0.1498 0.3965 0.3555
0.6498 0.3555 0.3965
0.8502 0.6035 0.6445
0.2500 0.0707 0.9293
0.7500 0.9293 0.0707
```

Its uncorrected energy is -2.5008 eV/atom. As for the space-group type: No. 15.

***

18.
First-principles (GGA-PBE) data for HPt3I after structural relaxation, as listed in Alexandria via LeMat-Bulk.

Geometry as POSCAR:
```
HPt3I
1.0
5.0169 0.0000 0.0000
0.0000 5.0169 0.0000
0.0000 0.0000 5.0169
H Pt I
1 3 1
Direct
0.5000 0.5000 0.5000
0.5000 0.0000 0.0000
0.0000 0.5000 0.0000
0.0000 0.0000 0.5000
0.0000 0.0000 0.0000
```

The calculation puts the energy above the most stable polymorph in this dataset at 1107 meV/atom. As for the space-group type: No. 221.

***

19.
First-principles (GGA-PBE) data for HPtI after structural relaxation, as listed in Alexandria via LeMat-Bulk.

Geometry as POSCAR:
```
HPtI
1.0
-2.0942 0.9538 -5.0026
4.8947 -5.2445 -3.0489
-4.2014 -4.4503 0.9103
Pt H I
4 4 4
Direct
0.7503 0.2500 0.2501
0.2503 0.2500 0.2499
0.7497 0.7500 0.7501
0.2497 0.7500 0.7499
0.4996 0.7500 0.9249
0.0004 0.2500 0.4249
0.5004 0.2500 0.0751
0.9996 0.7500 0.5751
0.5000 0.5000 0.5000
0.0000 0.0000 0.0000
0.0000 0.5000 0.0000
0.5000 0.0000 0.5000
```

The calculation puts the energy above the most stable polymorph in this dataset at 115 meV/atom. As for the space-group type: No. 74.

***

20.
First-principles (GGA-PBE) data for Rb2HPtI6 after structural relaxation, as listed in Alexandria via LeMat-Bulk.

Geometry as POSCAR:
```
Rb2HPtI6
1.0
8.8553 0.0000 0.0000
0.0000 8.8553 0.0000
4.4276 4.4276 4.8821
I Pt Rb H
6 1 2 1
Direct
0.7862 0.7862 0.0000
0.2138 0.2138 0.0000
0.6958 0.6958 0.6084
0.7862 0.2138 0.0000
0.3042 0.3042 0.3916
0.2138 0.7862 0.0000
0.0000 0.0000 0.0000
0.7500 0.2500 0.5000
0.2500 0.7500 0.5000
0.5000 0.5000 0.0000
```

Its uncorrected energy is -2.6875 eV/atom. As for the space-group type: No. 139.

***

21.
First-principles (GGA-PBE) data for Sr6HPt2I3 after structural relaxation, as listed in Alexandria via LeMat-Bulk.

Geometry as POSCAR:
```
Sr6HPt2I3
1.0
-6.2241 -3.1555 -2.9287
1.8182 -1.2296 7.2426
-2.9439 8.0804 0.7978
Sr Pt I H
6 2 3 1
Direct
0.9354 0.6029 0.8054
0.6029 0.9354 0.8054
0.7324 0.7324 0.1942
0.0646 0.3971 0.1946
0.3971 0.0646 0.1946
0.2676 0.2676 0.8058
0.3332 0.6668 0.0000
0.6668 0.3332 0.0000
0.1648 0.8352 0.5000
0.8352 0.1648 0.5000
0.5000 0.5000 0.5000
0.0000 0.0000 0.0000
```

Its uncorrected energy is -3.5045 eV/atom. As for the space-group type: No. 12.

***

22.
First-principles (GGA-PBE) data for TeHPtI2 after structural relaxation, as listed in Alexandria via LeMat-Bulk.

Geometry as POSCAR:
```
TeHPtI2
1.0
5.5480 0.0000 0.0000
0.0000 5.5480 0.0000
0.0000 0.0000 3.7495
Te H I Pt
1 1 2 1
Direct
0.0000 0.0000 0.5000
0.0000 0.0000 0.0000
0.5000 0.0000 0.0000
0.0000 0.5000 0.0000
0.5000 0.5000 0.5000
```

The calculation puts the energy above the most stable polymorph in this dataset at 248 meV/atom. As for the space-group type: No. 123.

***

Number 1: total moment 0.00 Bohr magnetons per cell. Number 2: total moment 0.00 Bohr magnetons per cell. Number 3: total moment 0.00 Bohr magnetons per cell. Number 4: total moment 0.00 Bohr magnetons per cell. Number 5: total moment 0.00 Bohr magnetons per cell. Number 6: total moment 1.04 Bohr magnetons per cell. Number 7: total moment 0.00 Bohr magnetons per cell. Number 8: total moment 0.00 Bohr magnetons per cell. Number 9: total moment 0.00 Bohr magnetons per cell. Number 10: total moment 0.00 Bohr magnetons per cell. Number 11: total moment 0.00 Bohr magnetons per cell. Number 12: total moment 0.00 Bohr magnetons per cell. Number 13: total moment 0.00 Bohr magnetons per cell. Number 14: total moment 0.00 Bohr magnetons per cell. Number 15: total moment 0.00 Bohr magnetons per cell. Number 16: total moment 0.00 Bohr magnetons per cell. Number 17: total moment 0.00 Bohr magnetons per cell. Number 18: total moment 1.03 Bohr magnetons per cell. Number 19: total moment 0.00 Bohr magnetons per cell. Number 20: total moment 0.00 Bohr magnetons per cell. Number 21: total moment 0.00 Bohr magnetons per cell. Number 22: total moment 0.00 Bohr magnetons per cell.